Entry 1:
The following is a DFT calculation (PBE) of an optimized crystal structure of K2SeS.

```
K2SeS
1.0
0.0000 3.9064 3.9064
3.9064 0.0000 3.9064
3.9064 3.9064 0.0000
S K Se
1 2 1
Cartesian
0.0000 0.0000 0.0000
1.9532 1.9532 1.9532
5.8596 5.8596 5.8596
3.9064 3.9064 3.9064
```

Energy above the most stable polymorph in this dataset   356 meV per atom
Calculated total energy   -11.9 eV per cell
DOS at the Fermi energy   0.59 states/eV per atom

=====

Entry 2:
The following is a DFT calculation (PBE) of an optimized crystal structure of KSe2S.

```
KSe2S
1.0
6.3204 -0.1717 -1.6820
-2.9103 7.8536 -4.0261
0.0857 -3.9041 8.4326
S K Se
2 2 4
Cartesian
4.2454 0.0763 0.6769
0.6839 1.7371 -0.1510
-0.7319 3.8026 1.9675
2.8720 1.9758 2.9712
2.1512 3.5109 -0.4578
5.2456 -2.5225 5.2090
-0.2058 0.4448 3.7230
-0.0993 6.1373 -3.0351
```

Calculated total energy   -27.6 eV per cell
DOS at the Fermi energy   0.34 states/eV per atom

=====

Entry 3:
The following is a DFT calculation (PBE) of an optimized crystal structure of K2SeS2.

```
K2SeS2
1.0
6.4222 -0.4248 -0.7131
-3.2857 6.3007 -2.0581
-1.1149 0.3329 8.5739
Se S K
2 4 4
Cartesian
-0.8931 4.1976 5.5464
2.9195 1.9983 0.2298
-0.4979 2.3037 4.4030
2.5244 3.8923 1.3731
-0.0682 5.9640 4.4180
2.0946 0.2320 1.3581
-0.6598 4.2031 1.8176
2.6863 1.9928 3.9586
0.0118 0.2259 6.7650
2.0146 5.9701 -0.9888
```

Energy above the most stable polymorph in this dataset   0 meV per atom
Calculated total energy   -35.6 eV per cell

=====

Entry 4:
The following is a DFT calculation (PBE) of an optimized crystal structure of K2SeS6.

```
K2SeS6
1.0
-4.3005 -1.6831 1.2667
-2.5548 -0.3712 -8.6569
5.2655 -5.2031 -0.2411
K S Se
2 6 1
Cartesian
1.9135 -6.3413 -0.6826
0.2107 -5.5313 -4.7554
-1.7146 -4.5666 -1.4468
-2.3452 -5.1683 -6.8631
-3.8125 -4.1177 -5.8656
0.8661 -2.2994 -3.6697
3.1459 -4.7824 -3.2483
-3.0073 -3.0371 -4.2847
2.0598 -5.6460 -7.5814
```

Calculated total energy   -34.5 eV per cell

=====

Entry 5:
The following is a DFT calculation (PBE) of an optimized crystal structure of KSe2S.

```
KSe2S
1.0
-3.5052 3.7308 7.6748
-1.4561 0.5921 9.0905
0.4433 4.0276 8.2880
K Se S
1 2 1
Cartesian
0.0000 0.0000 0.0000
-3.9871 7.3691 22.1091
-0.5309 0.9813 2.9442
-2.2590 4.1752 12.5266
```

Calculated total energy   -11.5 eV per cell
DOS at the Fermi energy   0.53 states/eV per atom

=====

Entry 6:
The following is a DFT calculation (PBE) of an optimized crystal structure of K2Sn2SeS2.

```
K2Sn2SeS2
1.0
5.7357 0.0000 0.0000
2.8678 6.7908 0.2582
2.8678 1.7173 6.5157
Se K S Sn
1 2 2 2
Cartesian
0.0000 0.0000 0.0000
5.7357 2.3265 4.8428
5.7357 6.1815 1.9312
8.6035 5.8445 5.7162
2.8678 2.6636 1.0577
5.7357 2.5028 1.1111
5.7357 6.0052 5.6629
```

Calculated total energy   -26.9 eV per cell

=====

Entry 7:
The following is a DFT calculation (PBE) of an optimized crystal structure of KTbSeS.

```
KTbSeS
1.0
4.1245 -0.0005 0.0000
-2.0618 3.5725 -0.0004
-2.0613 -1.1912 7.7067
K S Tb Se
1 1 1 1
Cartesian
2.4517 0.9303 2.8217
0.3905 -0.2625 5.1618
-1.6716 0.9286 6.6266
-1.6724 3.3113 0.5685
```

Calculated total energy   -20.5 eV per cell
DOS at the Fermi energy   0.00 states/eV per atom

=====

Entry 8:
The following is a DFT calculation (PBE) of an optimized crystal structure of KTe2Se6S2.

```
KTe2Se6S2
1.0
-8.4949 -1.6898 -1.4090
-4.2806 -7.5183 -1.3997
0.3987 3.3792 6.8082
S Te Se K
2 2 6 1
Cartesian
-8.1195 -3.3995 0.1880
-4.2573 -2.4294 3.8115
-8.4519 -1.4316 4.2164
-3.9249 -4.3973 -0.2169
-2.6089 1.2665 5.8518
-3.4938 -4.1313 2.6137
-8.8830 -1.6977 1.3858
-9.7679 -7.0955 -1.8523
-6.1451 -2.7139 -0.6553
-6.2317 -3.1150 4.6548
-4.0481 0.8447 2.6996
```

Calculated total energy   -37.6 eV per cell
DOS at the Fermi energy   0.24 states/eV per atom

=====

Entry 9:
The following is a DFT calculation (PBE) of an optimized crystal structure of KThSeS.

```
KThSeS
1.0
-3.3695 1.4747 1.8612
0.8007 -4.0429 0.0878
6.1257 1.3333 5.4689
S Se Th K
1 1 1 1
Cartesian
2.4738 1.0191 4.5339
0.9045 -3.5787 0.7698
4.7078 -0.6235 5.3145
-0.7221 0.3682 3.8272
```

Calculated total energy   -22.4 eV per cell
DOS at the Fermi energy   0.75 states/eV per atom

=====

Entry 10:
The following is a DFT calculation (PBE) of an optimized crystal structure of K2TlSeS.

```
K2TlSeS
1.0
-2.8245 1.6700 -4.1266
5.2114 -3.6468 -5.0429
-4.5530 -6.4092 0.5226
K Tl Se S
4 2 2 2
Cartesian
-2.0520 -3.2715 -1.6034
-0.1141 -5.1146 -7.0436
-2.5112 -8.0224 -6.5796
0.3451 -0.3637 -2.0673
-1.2808 -2.3285 -5.1175
-0.8853 -6.0576 -3.5295
0.9026 -3.4439 -3.6955
-3.0687 -4.9421 -4.9514
-2.6369 -0.7405 -3.5466
0.4708 -7.6455 -5.1003
```

Calculated total energy   -32.5 eV per cell
DOS at the Fermi energy   0.12 states/eV per atom